The following is a DFT calculation (PBE) of crystalline TmLuMnAg at its relaxed geometry.

V   88.6 Å³ per cell
Crystal system   cubic
Final energy   -5.284 eV/atom

abc: 5.004 5.004 5.004
angles: 60.00 60.00 60.00
Fractional coordinates of all 4 atoms:
Tm: 0.000 0.000 0.000
Lu: 0.500 0.500 0.500
Mn: 0.250 0.250 0.250
Ag: 0.750 0.750 0.750